A relaxed structure of PmGdY2. Source: Alexandria via LeMat-Bulk, functional GGA-PBE.

For the formation energy, the calculation gives 0.11 eV per atom. The relative energy among the computed polymorphs comes out at 88 meV per atom. The value obtained for the calculated total energy is -31.34 eV per formula unit.

Geometry as POSCAR:
```
PmGdY2
1.0
0.000 4.051 4.051
4.051 0.000 4.051
4.051 4.051 0.000
Pm Gd Y
1 1 2
direct
0.000 0.000 0.000
0.500 0.500 0.500
0.250 0.250 0.250
0.750 0.750 0.750
```

A relaxed structure of La5TcPd. Source: Alexandria via LeMat-Bulk, functional GGA-PBE.

For the formation energy, the calculation gives -0.12 eV per atom. The value obtained for the calculated total energy is -41.05 eV per formula unit.

Geometry as POSCAR:
```
La5TcPd
1.0
6.103 -5.892 0.000
6.103 5.892 0.000
-1.925 0.000 5.979
La Tc Pd
10 2 2
direct
0.101 0.899 0.750
0.117 0.339 0.886
0.311 0.582 0.466
0.339 0.117 0.386
0.418 0.689 0.034
0.582 0.311 0.966
0.661 0.883 0.614
0.689 0.418 0.534
0.883 0.661 0.114
0.899 0.101 0.250
0.167 0.833 0.250
0.833 0.167 0.750
0.000 0.500 0.500
0.500 0.000 0.000
```

Question: The highest calculated total energy belongs to which entry?
Answer: PmGdY2